(1)
Cr2SnSe | PBE | optimized geometry

As for the energy above the most stable polymorph in this dataset: 130 meV/atom. As for the density: 7.8 Mg/m³. As for the total DFT energy (no corrections): -6.220 eV/atom. The value obtained for the raw formation energy is 0.464 eV per atom.

Unit cell a=4.4878 b=4.4878 c=4.4878 alpha=60.00 beta=60.00 gamma=60.00
Last column: magnetic moment on the atom in μB.
Sites, in units of the cell vectors:
Cr  0.2500  0.2500  0.2500  1.56
Cr  0.7500  0.7500  0.7500  1.56
Sn  0.5000  0.5000  0.5000  -0.14
Se  0.0000  0.0000  0.0000  -0.13

(2)
AlHSe2 | PBE | optimized geometry

As for the energy above the most stable polymorph in this dataset: 1051 meV/atom. As for the density: 4.9 Mg/m³. As for the total DFT energy (no corrections): -3.014 eV/atom.

Unit cell a=8.4969 b=8.4969 c=8.4969 alpha=20.03 beta=20.03 gamma=20.03
Sites, in units of the cell vectors:
H  0.5000  0.5000  0.5000
Al  0.0000  0.0000  0.0000
Se  0.8948  0.8948  0.8948
Se  0.1052  0.1052  0.1052

(3)
ZrBeAl2Ni4 | PBE | optimized geometry

The energy of formation from the pure elements comes out at -0.51 eV/atom. As for the density: 6.3 Mg/m³. As for the total DFT energy (no corrections): -5.871 eV/atom.

Unit cell a=3.9739 b=3.9739 c=7.8459 alpha=75.33 beta=75.33 gamma=60.00
Sites, in units of the cell vectors:
Zr  0.0000  0.0000  0.0000
Be  0.5000  0.5000  0.5000
Al  0.7582  0.7582  0.7253
Al  0.2418  0.2418  0.2747
Ni  0.4022  0.4022  0.7936
Ni  0.8674  0.8674  0.3978
Ni  0.1326  0.1326  0.6022
Ni  0.5978  0.5978  0.2064

(4)
Ce2VS5 | PBE | optimized geometry

As for the density: 5.3 Mg/m³. As for the total DFT energy (no corrections): -6.771 eV/atom. The value obtained for the raw formation energy is -1.568 eV per atom.

Unit cell a=7.0485 b=8.0136 c=10.9831 alpha=90.00 beta=90.00 gamma=90.00
Last column: magnetic moment on the atom in μB.
Sites, in units of the cell vectors:
Ce  0.4175  0.4988  0.8313  0.72
Ce  0.5825  0.5012  0.1687  0.72
Ce  0.9175  0.5012  0.6687  0.72
Ce  0.5825  0.9988  0.1687  0.72
Ce  0.0825  0.4988  0.3313  0.72
Ce  0.4175  0.0012  0.8313  0.72
Ce  0.0825  0.0012  0.3313  0.72
Ce  0.9175  0.9988  0.6687  0.72
V  0.4275  0.2500  0.5041  1.51
V  0.5725  0.7500  0.4959  1.51
V  0.9275  0.7500  0.9959  1.51
V  0.0725  0.2500  0.0041  1.51
S  0.0684  0.2500  0.5075  -0.07
S  0.9316  0.7500  0.4925  -0.07
S  0.5684  0.7500  0.9925  -0.07
S  0.4316  0.2500  0.0075  -0.07
S  0.3187  0.9666  0.5636  -0.07
S  0.6813  0.0334  0.4364  -0.07
S  0.8187  0.0334  0.9364  -0.07
S  0.6813  0.4666  0.4364  -0.07
S  0.1813  0.9666  0.0636  -0.07
S  0.3187  0.5334  0.5636  -0.07
S  0.1813  0.5334  0.0636  -0.07
S  0.8187  0.4666  0.9364  -0.07
S  0.1389  0.2500  0.7907  -0.05
S  0.8611  0.7500  0.2093  -0.05
S  0.6389  0.7500  0.7093  -0.05
S  0.3611  0.2500  0.2907  -0.05
S  0.6224  0.2500  0.6951  -0.04
S  0.3776  0.7500  0.3049  -0.04
S  0.1224  0.7500  0.8049  -0.04
S  0.8776  0.2500  0.1951  -0.04

(5)
LiAlP2 | PBE | optimized geometry

The energy of formation from the pure elements comes out at -0.26 eV/atom. As for the density: 2.5 Mg/m³. As for the total DFT energy (no corrections): -4.376 eV/atom.

Unit cell a=3.4787 b=3.4787 c=7.2271 alpha=78.08 beta=78.08 gamma=48.73
Sites, in units of the cell vectors:
Al  0.7500  0.7500  0.7500
Li  0.2500  0.2500  0.2500
P  0.9902  0.9902  0.9791
P  0.5098  0.5098  0.5209

(6)
K2PaMnS4 | PBE | optimized geometry

As for the density: 4.6 Mg/m³. As for the total DFT energy (no corrections): -5.762 eV/atom. The value obtained for the raw formation energy is -1.091 eV per atom.

Unit cell a=3.9232 b=6.0687 c=7.8281 alpha=107.90 beta=90.00 gamma=90.00
Last column: magnetic moment on the atom in μB.
Sites, in units of the cell vectors:
K  0.5000  0.0000  0.5000  0.00
K  0.0000  0.5000  0.5000  0.00
Pa  0.0000  0.0000  0.0000  -0.35
Mn  0.5000  0.5000  0.0000  0.39
S  0.5000  0.2645  0.1979  0.01
S  0.5000  0.7355  0.8021  0.01
S  0.0000  0.2981  0.8176  0.00
S  0.0000  0.7019  0.1824  0.00